Record 1
An optimized crystal structure of TaTi4, computed with GGA-PBE.

Cell lengths 4.7741, 4.7741, 4.7741 Å; angles 90.00, 90.00, 90.00 degrees
Space group Pm-3m (No. 221)
Symmetry-distinct sites (fractional):
Ta (0.0000, 0.0000, 0.0000) x1
Ti (0.0000, 0.0000, 0.5000) x3
Ti (0.5000, 0.5000, 0.5000) x1

Computed properties:
E_tot: -38.10 eV/cell
E_form: 1066 meV/atom


Record 2
An optimized crystal structure of Ta4Ti, computed with GGA-PBE.

Cell lengths 4.6599, 4.6599, 4.6599 Å; angles 90.00, 90.00, 90.00 degrees
Space group Pm-3m (No. 221)
Symmetry-distinct sites (fractional):
Ta (0.0000, 0.0000, 0.0000) x1
Ta (0.0000, 0.5000, 0.5000) x3
Ti (0.5000, 0.5000, 0.5000) x1

Computed properties:
E_tot: -48.12 eV/cell
E_form: 1437 meV/atom


Record 3
An optimized crystal structure of Ta5Ti, computed with GGA-PBE.

Cell lengths 4.6578, 14.0052, 3.3208 Å; angles 90.00, 90.00, 90.00 degrees
Space group Cmmm (No. 65)
Symmetry-distinct sites (fractional):
Ta (0.0000, 0.0000, 0.0000) x2
Ta (0.0000, 0.1643, 0.5000) x4
Ta (0.0000, 0.3320, 0.0000) x4
Ti (0.0000, 0.5000, 0.5000) x2

Computed properties:
E_tot: -133.94 eV/cell
E_form: 31 meV/atom